Entry 1:
Crystalline Y3TcF at its relaxed geometry. Source: Alexandria, functional GGA-PBE.

Unit cell a=4.7498 b=4.7498 c=4.7498 alpha=90.00 beta=90.00 gamma=90.00
Atoms (fractional coordinates):
Y  0.0000  0.0000  0.5000
Y  0.0000  0.5000  0.0000
Y  0.5000  0.0000  0.0000
Tc  0.5000  0.5000  0.5000
F  0.0000  0.0000  0.0000

Summary:
Calculated density, g/cm³: 5.95
DFT total energy, eV per atom: -6.990
Symmetry: Pm-3m, No. 221
ΔE to the lowest computed polymorph, meV per atom: 0.0
Formation energy without anion corrections, kcal/mol of atoms: -15.3
Density of states at the Fermi level, states/eV per cell: 5.046

Entry 2:
Crystalline YTc3F at its relaxed geometry. Source: Alexandria, functional GGA-PBE.

Unit cell a=5.1791 b=5.1791 c=5.1791 alpha=90.00 beta=90.00 gamma=90.00
Atoms (fractional coordinates):
Y  0.0000  0.0000  0.0000
Tc  0.0000  0.0000  0.5000
Tc  0.0000  0.5000  0.0000
Tc  0.5000  0.0000  0.0000
F  0.5000  0.5000  0.5000

Summary:
Calculated density, g/cm³: 4.80
DFT total energy, eV per atom: -5.560
Symmetry: Pm-3m, No. 221
ΔE to the lowest computed polymorph, meV per atom: 1723.4
Formation energy without anion corrections, kcal/mol of atoms: 53.7
Density of states at the Fermi level, states/eV per cell: 6.680

Entry 3:
Crystalline Y2TcF2 at its relaxed geometry. Source: Alexandria, functional GGA-PBE.

Unit cell a=4.9878 b=4.9878 c=4.9878 alpha=120.65 beta=120.65 gamma=88.87
Atoms (fractional coordinates):
Y  0.2500  0.7500  0.5000
Y  0.7500  0.2500  0.5000
Tc  0.0000  0.0000  0.0000
F  0.3030  0.3030  0.0000
F  0.6970  0.6970  0.0000

Summary:
Calculated density, g/cm³: 6.00
DFT total energy, eV per atom: -6.856
Symmetry: I4/mmm, No. 139
ΔE to the lowest computed polymorph, meV per atom: 0.0
Formation energy without anion corrections, kcal/mol of atoms: -33.4
Density of states at the Fermi level, states/eV per cell: 2.695

Entry 4:
Crystalline Y2TcF at its relaxed geometry. Source: Alexandria, functional GGA-PBE.

Unit cell a=6.0479 b=6.0479 c=6.0479 alpha=112.10 beta=112.10 gamma=104.33
Atoms (fractional coordinates):
Y  0.0711  0.6250  0.9461
Y  0.3750  0.3211  0.4461
Y  0.6789  0.1250  0.0539
Y  0.8750  0.9289  0.5539
Tc  0.2500  0.7500  0.5000
Tc  0.5000  0.5000  0.0000
F  0.0000  0.0000  0.0000
F  0.7500  0.2500  0.5000

Summary:
Calculated density, g/cm³: 5.78
DFT total energy, eV per atom: -7.163
Symmetry: I-42d, No. 122
ΔE to the lowest computed polymorph, meV per atom: 0.0
Formation energy without anion corrections, kcal/mol of atoms: -20.1
Density of states at the Fermi level, states/eV per cell: 6.546

Entry 5:
Crystalline YTc4F2 at its relaxed geometry. Source: Alexandria, functional GGA-PBE.

Unit cell a=7.0188 b=7.0188 c=7.0188 alpha=137.47 beta=137.47 gamma=61.71
Atoms (fractional coordinates):
Y  0.0000  0.0000  0.0000
Tc  0.0000  0.5000  0.5000
Tc  0.2372  0.2372  0.0000
Tc  0.5000  0.0000  0.5000
Tc  0.7628  0.7628  0.0000
F  0.4057  0.4057  0.0000
F  0.5943  0.5943  0.0000

Summary:
Calculated density, g/cm³: 5.52
DFT total energy, eV per atom: -5.843
Symmetry: I4/mmm, No. 139
Formation energy without anion corrections, kcal/mol of atoms: 35.5
Density of states at the Fermi level, states/eV per cell: 6.407

Entry 6:
Crystalline Y2TcF at its relaxed geometry. Source: Alexandria, functional GGA-PBE.

Unit cell a=4.8022 b=4.8022 c=4.8022 alpha=60.00 beta=60.00 gamma=60.00
Atoms (fractional coordinates):
Y  0.2500  0.2500  0.2500
Y  0.7500  0.7500  0.7500
Tc  0.0000  0.0000  0.0000
F  0.5000  0.5000  0.5000

Summary:
Calculated density, g/cm³: 6.25
DFT total energy, eV per atom: -6.903
Symmetry: Fm-3m, No. 225
ΔE to the lowest computed polymorph, meV per atom: 260.1
Formation energy without anion corrections, kcal/mol of atoms: -14.1
Density of states at the Fermi level, states/eV per cell: 2.970

Entry 7:
Crystalline YTc3F at its relaxed geometry. Source: Alexandria, functional GGA-PBE.

Unit cell a=4.3540 b=4.3540 c=4.3540 alpha=90.00 beta=90.00 gamma=90.00
Atoms (fractional coordinates):
Y  0.0000  0.0000  0.0000
Tc  0.0000  0.5000  0.5000
Tc  0.5000  0.0000  0.5000
Tc  0.5000  0.5000  0.0000
F  0.5000  0.5000  0.5000

Summary:
Calculated density, g/cm³: 8.09
DFT total energy, eV per atom: -7.283
Symmetry: Pm-3m, No. 221
ΔE to the lowest computed polymorph, meV per atom: 0.0
Formation energy without anion corrections, kcal/mol of atoms: 13.9
Density of states at the Fermi level, states/eV per cell: 8.578

Entry 8:
Crystalline Y2TcF2 at its relaxed geometry. Source: Alexandria, functional GGA-PBE.

Unit cell a=7.4506 b=7.4506 c=2.9739 alpha=90.00 beta=90.00 gamma=90.00
Atoms (fractional coordinates):
Y  0.1997  0.3003  0.0000
Y  0.3003  0.8003  0.0000
Y  0.6997  0.1997  0.0000
Y  0.8003  0.6997  0.0000
Tc  0.0000  0.0000  0.5000
Tc  0.5000  0.5000  0.5000
F  0.1117  0.6117  0.5000
F  0.3883  0.1117  0.5000
F  0.6117  0.8883  0.5000
F  0.8883  0.3883  0.5000

Summary:
Calculated density, g/cm³: 6.31
DFT total energy, eV per atom: -6.824
Symmetry: P4/mbm, No. 127
ΔE to the lowest computed polymorph, meV per atom: 32.4
Formation energy without anion corrections, kcal/mol of atoms: -32.7
Density of states at the Fermi level, states/eV per cell: 7.355